Crystalline BeV3Rh4 at its relaxed geometry, computed with PBE.

abc: 2.778 2.778 13.474
angles: 90.00 90.00 90.00
Each line ends with the local moment (μB).
Element x y z (fractional)
Rh  0.000  0.000  0.105  0.01
Rh  0.000  0.000  0.895  0.01
Be  0.500  0.500  0.000  0.00
Rh  0.000  0.000  0.634  0.00
Rh  0.000  0.000  0.366  0.00
V  0.500  0.500  0.769  0.38
V  0.500  0.500  0.231  0.38
V  0.500  0.500  0.500  0.24

Summary:
volume	104	Å³ per cell
density of states at the Fermi level	9.37	states/eV/cell
raw total energy	-64.06	eV for the cell shown